Record 1
VASP calculation (PBE) on a geometry-optimized LaDySb2 structure.

abc: 7.785 7.785 7.785
angles: 33.70 33.70 33.70
Fractional coordinates of all 4 atoms:
La  0.000  0.000  0.000
Dy  0.500  0.500  0.500
Sb  0.245  0.245  0.245
Sb  0.755  0.755  0.755

Calculated values
Energy   -22.58 eV/cell
Total magnetic moment   0.0 μB per formula unit
Space group   No. 166
Formation energy (no corrections)   -1.200 eV per atom
Excess energy over the best structure of this formula in the dataset   0.0 kJ/mol of atoms

---

Record 2
VASP calculation (PBE) on a geometry-optimized La2DyScSb4 structure.

abc: 7.685 4.467 7.728
angles: 90.00 109.61 90.00
Fractional coordinates of all 8 atoms:
La  0.000  0.000  0.000
La  0.000  0.500  0.500
Dy  0.500  0.000  0.500
Sc  0.500  0.500  0.000
Sb  0.268  0.500  0.250
Sb  0.273  0.000  0.764
Sb  0.727  0.000  0.236
Sb  0.732  0.500  0.750

Calculated values
Energy   -46.35 eV/cell
Total magnetic moment   0.0 μB per formula unit
Space group   No. 10
Formation energy (no corrections)   -1.135 eV per atom

---

Record 3
VASP calculation (PBE) on a geometry-optimized LaDy2ScSb4 structure.

abc: 7.605 7.605 7.605
angles: 131.55 131.55 70.94
Fractional coordinates of all 8 atoms:
La  0.000  0.000  0.000
Dy  0.250  0.750  0.500
Dy  0.750  0.250  0.500
Sc  0.500  0.500  0.000
Sb  0.000  0.500  0.500
Sb  0.261  0.261  0.000
Sb  0.500  0.000  0.500
Sb  0.739  0.739  0.000

Calculated values
Energy   -45.59 eV/cell
Total magnetic moment   0.0 μB per formula unit
Space group   No. 139
Formation energy (no corrections)   -1.079 eV per atom

---

Record 4
VASP calculation (PBE) on a geometry-optimized LaDySbSe structure.

abc: 7.996 7.996 7.996
angles: 30.79 30.79 30.79
Fractional coordinates of all 4 atoms:
La  0.000  0.000  0.000
Dy  0.167  0.167  0.167
Sb  0.578  0.578  0.578
Se  0.757  0.757  0.757

Calculated values
Energy   -22.93 eV/cell
Total magnetic moment   0.5 μB per formula unit
Space group   No. 160
Formation energy (no corrections)   -1.449 eV per atom